Record 1
DFT (GGA-PBE) results for a relaxed DyScPa crystal.

Calculated values
D(E_F) = 4.088 states/eV/cell
SG = P3m1 (156)
raw total energy = -20.14 eV/cell
energy of formation = 0.3 eV per formula unit

Cell lengths 3.342, 3.342, 8.223 Å; angles 90.00, 90.00, 120.00 degrees
Element x y z (fractional)
Dy1 0.000 0.000 0.000
Sc1 0.333 0.667 0.649
Pa1 0.667 0.333 0.335

Record 2
DFT (GGA-PBE) results for a relaxed ErAg4 crystal.

Calculated values
D(E_F) = 2.922 states/eV/cell
SG = Pm-3m (221)
raw total energy = -10.99 eV/cell
energy of formation = 5.0 eV per formula unit

Cell lengths 5.401, 5.401, 5.401 Å; angles 90.00, 90.00, 90.00 degrees
Element x y z (fractional)
Er1 0.000 0.000 0.000
Ag1 0.000 0.000 0.500
Ag2 0.000 0.500 0.000
Ag3 0.500 0.000 0.000
Ag4 0.500 0.500 0.500

Record 3
DFT (GGA-PBE) results for a relaxed ZnCuNiIr crystal.

Calculated values
D(E_F) = 6.346 states/eV/cell
SG = F-43m (216)
raw total energy = -19.95 eV/cell
energy of formation = 0.1 eV per formula unit

Cell lengths 4.172, 4.172, 4.172 Å; angles 60.00, 60.00, 60.00 degrees
Element x y z (fractional)
Zn1 0.000 0.000 0.000
Cu1 0.500 0.500 0.500
Ni1 0.250 0.250 0.250
Ir1 0.750 0.750 0.750

Record 4
DFT (GGA-PBE) results for a relaxed LiAc2Al4Pd3 crystal.

Calculated values
D(E_F) = 8.690 states/eV/cell
SG = P-4m2 (115)
raw total energy = -47.35 eV/cell
energy of formation = -6.7 eV per formula unit

Cell lengths 4.532, 4.532, 10.250 Å; angles 90.00, 90.00, 90.00 degrees
Element x y z (fractional)
Li1 0.000 0.000 0.000
Ac1 0.000 0.500 0.752
Ac2 0.500 0.000 0.248
Al1 0.000 0.000 0.500
Al2 0.000 0.500 0.122
Al3 0.500 0.000 0.878
Al4 0.500 0.500 0.500
Pd1 0.000 0.500 0.373
Pd2 0.500 0.000 0.627
Pd3 0.500 0.500 0.000

Record 5
DFT (GGA-PBE) results for a relaxed Sc4CdAu crystal.

Calculated values
D(E_F) = 6.131 states/eV/cell
SG = F-43m (216)
raw total energy = -28.66 eV/cell
energy of formation = 0.9 eV per formula unit

Cell lengths 5.744, 5.744, 5.744 Å; angles 60.00, 60.00, 60.00 degrees
Element x y z (fractional)
Sc1 0.125 0.125 0.125
Sc2 0.125 0.125 0.625
Sc3 0.125 0.625 0.125
Sc4 0.625 0.125 0.125
Cd1 0.500 0.500 0.500
Au1 0.750 0.750 0.750

Record 6
DFT (GGA-PBE) results for a relaxed TlIn2Re crystal.

Calculated values
D(E_F) = 0.908 states/eV/cell
SG = P2/m (10)
raw total energy = -17.76 eV/cell
energy of formation = 2.5 eV per formula unit

Cell lengths 3.705, 3.713, 6.111 Å; angles 90.00, 90.32, 90.00 degrees
Element x y z (fractional)
Tl1 0.000 0.000 0.000
In1 0.500 0.500 0.272
In2 0.500 0.500 0.728
Re1 0.000 0.000 0.500

Record 7
DFT (GGA-PBE) results for a relaxed Ba2AgSb crystal.

Calculated values
D(E_F) = 0.000 states/eV/cell
SG = I-42d (122)
raw total energy = -24.08 eV/cell
uncorrected formation energy = -0.31 eV/atom

Cell lengths 10.176, 10.176, 10.176 Å; angles 138.51, 138.51, 60.12 degrees
Element x y z (fractional)
Ba1 0.115 0.625 0.990
Ba2 0.375 0.365 0.490
Ba3 0.635 0.125 0.010
Ba4 0.875 0.885 0.510
Ag1 0.250 0.750 0.500
Ag2 0.500 0.500 0.000
Sb1 0.000 0.000 0.000
Sb2 0.750 0.250 0.500

Record 8
DFT (GGA-PBE) results for a relaxed Dy8C3O4 crystal.

Calculated values
D(E_F) = 5.453 states/eV/cell
SG = R-3m (166)
raw total energy = -108.86 eV/cell
uncorrected formation energy = -1.64 eV/atom

Cell lengths 7.333, 7.333, 7.333 Å; angles 57.16, 57.16, 57.16 degrees
Element x y z (fractional)
Dy1 0.240 0.240 0.240
Dy2 0.243 0.744 0.744
Dy3 0.256 0.256 0.757
Dy4 0.256 0.757 0.256
Dy5 0.744 0.243 0.744
Dy6 0.744 0.744 0.243
Dy7 0.757 0.256 0.256
Dy8 0.760 0.760 0.760
C1 0.000 0.000 0.500
C2 0.000 0.500 0.000
C3 0.500 0.000 0.000
O1 0.000 0.000 0.000
O2 0.359 0.359 0.359
O3 0.500 0.500 0.500
O4 0.641 0.641 0.641

Record 9
DFT (GGA-PBE) results for a relaxed ScPN2 crystal.

Calculated values
D(E_F) = 1.289 states/eV/cell
SG = R-3m (166)
raw total energy = -28.51 eV/cell
uncorrected formation energy = -0.03 eV/atom

Cell lengths 6.545, 6.545, 6.545 Å; angles 24.96, 24.96, 24.96 degrees
Element x y z (fractional)
Sc1 0.000 0.000 0.000
P1 0.500 0.500 0.500
N1 0.117 0.117 0.117
N2 0.883 0.883 0.883

Record 10
DFT (GGA-PBE) results for a relaxed BaSi2P crystal.

Calculated values
D(E_F) = 1.688 states/eV/cell
SG = P4mm (99)
raw total energy = -18.37 eV/cell
uncorrected formation energy = -0.05 eV/atom

Cell lengths 3.681, 3.681, 6.554 Å; angles 90.00, 90.00, 90.00 degrees
Element x y z (fractional)
Ba1 0.000 0.000 0.000
Si1 0.000 0.000 0.497
Si2 0.500 0.500 0.663
P1 0.500 0.500 0.326

Record 11
DFT (GGA-PBE) results for a relaxed SmBAsRh3 crystal.

Calculated values
D(E_F) = 3.858 states/eV/cell
SG = Cmcm (63)
raw total energy = -84.33 eV/cell
energy of formation = -4.1 eV per formula unit

Cell lengths 6.667, 6.667, 5.798 Å; angles 90.00, 90.00, 128.99 degrees
Element x y z (fractional)
Sm1 0.242 0.758 0.750
Sm2 0.758 0.242 0.250
B1 0.493 0.507 0.250
B2 0.507 0.493 0.750
As1 0.125 0.875 0.250
As2 0.875 0.125 0.750
Rh1 0.247 0.247 0.000
Rh2 0.247 0.247 0.500
Rh3 0.320 0.680 0.250
Rh4 0.680 0.320 0.750
Rh5 0.753 0.753 0.000
Rh6 0.753 0.753 0.500

Record 12
DFT (GGA-PBE) results for a relaxed Cr crystal.

Calculated values
D(E_F) = 0.926 states/eV/cell
SG = Im-3m (229)
raw total energy = -9.62 eV/cell
energy of formation = 0.0 eV per formula unit

Cell lengths 2.469, 2.469, 2.469 Å; angles 109.47, 109.47, 109.47 degrees
Element x y z (fractional)
Cr1 0.000 0.000 0.000